P | CePa2Ti: optimized geometry, PBE.

Structure (CIF):
```
data_CePa2Ti
_space_group_name_H-M_alt 'P 4/m m m'
_space_group_IT_number 123
_space_group_name_Hall '-P 4 2'
_cell_length_a 3.024
_cell_length_b 3.024
_cell_length_c 9.970
_cell_angle_alpha 90.00
_cell_angle_beta 90.00
_cell_angle_gamma 90.00
loop_
_atom_site_label
_atom_site_fract_x
_atom_site_fract_y
_atom_site_fract_z
Ce1 0.000 0.000 0.000
Pa1 0.500 0.500 0.266
Ti1 0.000 0.000 0.500
```

Output
crystal system	tetragonal
total magnetization	0.0	Bohr magnetons per cell

Q | CePa2Ti: optimized geometry, PBE.

Structure (CIF):
```
data_CePa2Ti
_space_group_name_H-M_alt 'F m -3 m'
_space_group_IT_number 225
_space_group_name_Hall '-F 4 2 3'
_cell_length_a 7.141
_cell_length_b 7.141
_cell_length_c 7.141
_cell_angle_alpha 90.00
_cell_angle_beta 90.00
_cell_angle_gamma 90.00
loop_
_atom_site_label
_atom_site_fract_x
_atom_site_fract_y
_atom_site_fract_z
Ce1 0.000 0.000 0.000
Pa1 0.250 0.250 0.250
Ti1 0.000 0.000 0.500
```

Output
crystal system	cubic
total magnetization	0.0	Bohr magnetons per cell

Least stable structure: Q

P | CePaTi: optimized geometry, PBE.

Structure (CIF):
```
data_CePaTi
_space_group_name_H-M_alt 'P 3 m 1'
_space_group_IT_number 156
_space_group_name_Hall 'P 3 -2"'
_cell_length_a 5.1150
_cell_length_b 5.1150
_cell_length_c 2.9888
_cell_angle_alpha 90.00
_cell_angle_beta 90.00
_cell_angle_gamma 120.00
loop_
_atom_site_label
_atom_site_fract_x
_atom_site_fract_y
_atom_site_fract_z
Ce1 0.0000 0.0000 0.0000
Pa1 0.6667 0.3333 0.5050
Ti1 0.3333 0.6667 0.0101
```

Output
crystal system	trigonal
total magnetization	0.0	Bohr magnetons per cell

Q | CePaTi: optimized geometry, PBE.

Structure (CIF):
```
data_CePaTi
_space_group_name_H-M_alt 'P -1'
_space_group_IT_number 2
_space_group_name_Hall '-P 1'
_cell_length_a 3.220
_cell_length_b 5.232
_cell_length_c 8.086
_cell_angle_alpha 89.95
_cell_angle_beta 82.96
_cell_angle_gamma 89.97
loop_
_atom_site_label
_atom_site_fract_x
_atom_site_fract_y
_atom_site_fract_z
Ce1 0.134 0.250 0.365
Pa1 0.462 0.250 0.724
Ti1 0.191 0.750 0.968
```

Output
crystal system	triclinic
total magnetization	0.0	Bohr magnetons per cell

Least stable structure: P

P | CePa2Tl: optimized geometry, PBE.

Structure (CIF):
```
data_CePa2Tl
_space_group_name_H-M_alt 'F m -3 m'
_space_group_IT_number 225
_space_group_name_Hall '-F 4 2 3'
_cell_length_a 7.405
_cell_length_b 7.405
_cell_length_c 7.405
_cell_angle_alpha 90.00
_cell_angle_beta 90.00
_cell_angle_gamma 90.00
loop_
_atom_site_label
_atom_site_fract_x
_atom_site_fract_y
_atom_site_fract_z
Ce1 0.000 0.000 0.000
Pa1 0.250 0.250 0.250
Tl1 0.000 0.000 0.500
```

Output
crystal system	cubic
total magnetization	0.5	Bohr magnetons per cell

Q | CePa2Tl: optimized geometry, PBE.

Structure (CIF):
```
data_CePa2Tl
_space_group_name_H-M_alt 'P 4/m m m'
_space_group_IT_number 123
_space_group_name_Hall '-P 4 2'
_cell_length_a 4.575
_cell_length_b 4.575
_cell_length_c 4.945
_cell_angle_alpha 90.00
_cell_angle_beta 90.00
_cell_angle_gamma 90.00
loop_
_atom_site_label
_atom_site_fract_x
_atom_site_fract_y
_atom_site_fract_z
Ce1 0.000 0.000 0.000
Pa1 0.000 0.500 0.500
Tl1 0.500 0.500 0.000
```

Output
crystal system	tetragonal
total magnetization	0.0	Bohr magnetons per cell

Least stable structure: P

P | CeTm2Pa: optimized geometry, PBE.

Structure (CIF):
```
data_CeTm2Pa
_space_group_name_H-M_alt 'R -3 m'
_space_group_IT_number 166
_space_group_name_Hall '-R 3 2"'
_cell_length_a 3.2654
_cell_length_b 3.2654
_cell_length_c 36.1809
_cell_angle_alpha 90.00
_cell_angle_beta 90.00
_cell_angle_gamma 120.00
loop_
_atom_site_label
_atom_site_fract_x
_atom_site_fract_y
_atom_site_fract_z
Ce1 0.0000 0.0000 0.0000
Tm1 0.0000 0.0000 0.4119
Pa1 0.0000 0.0000 0.5000
```

Output
crystal system	trigonal
total magnetization	0.0	Bohr magnetons per cell

Q | CeTm2Pa: optimized geometry, PBE.

Structure (CIF):
```
data_CeTm2Pa
_space_group_name_H-M_alt 'P 4/m m m'
_space_group_IT_number 123
_space_group_name_Hall '-P 4 2'
_cell_length_a 3.334
_cell_length_b 3.334
_cell_length_c 10.222
_cell_angle_alpha 90.00
_cell_angle_beta 90.00
_cell_angle_gamma 90.00
loop_
_atom_site_label
_atom_site_fract_x
_atom_site_fract_y
_atom_site_fract_z
Ce1 0.000 0.000 0.000
Tm1 0.500 0.500 0.265
Pa1 0.000 0.000 0.500
```

Output
crystal system	tetragonal
total magnetization	0.9	Bohr magnetons per cell

R | CeTm2Pa: optimized geometry, PBE.

Structure (CIF):
```
data_CeTm2Pa
_space_group_name_H-M_alt 'P 4/m m m'
_space_group_IT_number 123
_space_group_name_Hall '-P 4 2'
_cell_length_a 4.707
_cell_length_b 4.707
_cell_length_c 5.036
_cell_angle_alpha 90.00
_cell_angle_beta 90.00
_cell_angle_gamma 90.00
loop_
_atom_site_label
_atom_site_fract_x
_atom_site_fract_y
_atom_site_fract_z
Ce1 0.000 0.000 0.000
Tm1 0.000 0.500 0.500
Pa1 0.500 0.500 0.000
```

Output
crystal system	tetragonal
total magnetization	0.7	Bohr magnetons per cell

Least stable structure: P

P | CeUPa: optimized geometry, PBE.

Structure (CIF):
```
data_CeUPa
_space_group_name_H-M_alt 'I 4 m m'
_space_group_IT_number 107
_space_group_name_Hall 'I 4 -2'
_cell_length_a 3.161
_cell_length_b 3.161
_cell_length_c 14.461
_cell_angle_alpha 90.00
_cell_angle_beta 90.00
_cell_angle_gamma 90.00
loop_
_atom_site_label
_atom_site_fract_x
_atom_site_fract_y
_atom_site_fract_z
Ce1 0.000 0.000 0.000
U1 0.000 0.000 0.334
Pa1 0.000 0.000 0.673
```

Output
crystal system	tetragonal
total magnetization	2.3	Bohr magnetons per cell

Q | CeUPa: optimized geometry, PBE.

Structure (CIF):
```
data_CeUPa
_space_group_name_H-M_alt 'P -6 m 2'
_space_group_IT_number 187
_space_group_name_Hall 'P -6 2'
_cell_length_a 5.2220
_cell_length_b 5.2220
_cell_length_c 2.9749
_cell_angle_alpha 90.00
_cell_angle_beta 90.00
_cell_angle_gamma 120.00
loop_
_atom_site_label
_atom_site_fract_x
_atom_site_fract_y
_atom_site_fract_z
Ce1 0.0000 0.0000 0.0000
U1 0.6667 0.3333 0.5000
Pa1 0.3333 0.6667 0.5000
```

Output
crystal system	hexagonal
total magnetization	1.1	Bohr magnetons per cell

R | CeUPa: optimized geometry, PBE.

Structure (CIF):
```
data_CeUPa
_space_group_name_H-M_alt 'C 1 m 1'
_space_group_IT_number 8
_space_group_name_Hall 'C -2y'
_cell_length_a 10.205
_cell_length_b 6.257
_cell_length_c 5.292
_cell_angle_alpha 90.00
_cell_angle_beta 120.82
_cell_angle_gamma 90.00
loop_
_atom_site_label
_atom_site_fract_x
_atom_site_fract_y
_atom_site_fract_z
Ce1 0.000 0.000 0.000
Ce2 0.020 0.500 0.019
U1 0.347 0.200 0.347
Pa1 0.172 0.229 0.671
```

Output
crystal system	monoclinic
total magnetization	0.0	Bohr magnetons per cell

S | CeUPa: optimized geometry, PBE.

Structure (CIF):
```
data_CeUPa
_space_group_name_H-M_alt 'C m m e'
_space_group_IT_number 67
_space_group_name_Hall '-C 2a 2'
_cell_length_a 4.623
_cell_length_b 4.830
_cell_length_c 12.792
_cell_angle_alpha 90.00
_cell_angle_beta 90.00
_cell_angle_gamma 90.00
loop_
_atom_site_label
_atom_site_fract_x
_atom_site_fract_y
_atom_site_fract_z
Ce1 0.000 0.250 0.091
U1 0.000 0.250 0.440
Pa1 0.000 0.250 0.728
```

Output
crystal system	orthorhombic
total magnetization	0.0	Bohr magnetons per cell

Least stable structure: Q

P | CeYPa: optimized geometry, PBE.

Structure (CIF):
```
data_CeYPa
_space_group_name_H-M_alt 'P -6 m 2'
_space_group_IT_number 187
_space_group_name_Hall 'P -6 2'
_cell_length_a 5.3695
_cell_length_b 5.3695
_cell_length_c 3.3591
_cell_angle_alpha 90.00
_cell_angle_beta 90.00
_cell_angle_gamma 120.00
loop_
_atom_site_label
_atom_site_fract_x
_atom_site_fract_y
_atom_site_fract_z
Ce1 0.0000 0.0000 0.0000
Y1 0.6667 0.3333 0.5000
Pa1 0.3333 0.6667 0.0000
```

Output
crystal system	hexagonal
total magnetization	0.0	Bohr magnetons per cell

Q | CeYPa: optimized geometry, PBE.

Structure (CIF):
```
data_CeYPa
_space_group_name_H-M_alt 'C m c m'
_space_group_IT_number 63
_space_group_name_Hall '-C 2c 2'
_cell_length_a 3.867
_cell_length_b 16.711
_cell_length_c 5.348
_cell_angle_alpha 90.00
_cell_angle_beta 90.00
_cell_angle_gamma 90.00
loop_
_atom_site_label
_atom_site_fract_x
_atom_site_fract_y
_atom_site_fract_z
Ce1 0.000 0.131 0.250
Y1 0.000 0.431 0.250
Pa1 0.000 0.250 0.750
```

Output
crystal system	orthorhombic
total magnetization	0.0	Bohr magnetons per cell

Least stable structure: P

P | CePaZn2: optimized geometry, PBE.

Structure (CIF):
```
data_CePaZn2
_space_group_name_H-M_alt 'P 4/m m m'
_space_group_IT_number 123
_space_group_name_Hall '-P 4 2'
_cell_length_a 4.312
_cell_length_b 4.312
_cell_length_c 4.496
_cell_angle_alpha 90.00
_cell_angle_beta 90.00
_cell_angle_gamma 90.00
loop_
_atom_site_label
_atom_site_fract_x
_atom_site_fract_y
_atom_site_fract_z
Ce1 0.000 0.000 0.000
Pa1 0.500 0.500 0.000
Zn1 0.000 0.500 0.500
```

Output
crystal system	tetragonal
total magnetization	0.0	Bohr magnetons per cell

Q | CePaZn2: optimized geometry, PBE.

Structure (CIF):
```
data_CePaZn2
_space_group_name_H-M_alt 'R -3 m'
_space_group_IT_number 166
_space_group_name_Hall '-R 3 2"'
_cell_length_a 3.0423
_cell_length_b 3.0423
_cell_length_c 31.8414
_cell_angle_alpha 90.00
_cell_angle_beta 90.00
_cell_angle_gamma 120.00
loop_
_atom_site_label
_atom_site_fract_x
_atom_site_fract_y
_atom_site_fract_z
Ce1 0.0000 0.0000 0.0000
Pa1 0.0000 0.0000 0.5000
Zn1 0.0000 0.0000 0.2489
```

Output
crystal system	trigonal
total magnetization	0.0	Bohr magnetons per cell

Least stable structure: Q

P | CePaZn2: optimized geometry, PBE.

Structure (CIF):
```
data_CePaZn2
_space_group_name_H-M_alt 'P 4/m m m'
_space_group_IT_number 123
_space_group_name_Hall '-P 4 2'
_cell_length_a 3.053
_cell_length_b 3.053
_cell_length_c 9.011
_cell_angle_alpha 90.00
_cell_angle_beta 90.00
_cell_angle_gamma 90.00
loop_
_atom_site_label
_atom_site_fract_x
_atom_site_fract_y
_atom_site_fract_z
Ce1 0.000 0.000 0.000
Pa1 0.000 0.000 0.500
Zn1 0.500 0.500 0.253
```

Output
crystal system	tetragonal
total magnetization	0.1	Bohr magnetons per cell

Q | CePaZn2: optimized geometry, PBE.

Structure (CIF):
```
data_CePaZn2
_space_group_name_H-M_alt 'F m -3 m'
_space_group_IT_number 225
_space_group_name_Hall '-F 4 2 3'
_cell_length_a 7.105
_cell_length_b 7.105
_cell_length_c 7.105
_cell_angle_alpha 90.00
_cell_angle_beta 90.00
_cell_angle_gamma 90.00
loop_
_atom_site_label
_atom_site_fract_x
_atom_site_fract_y
_atom_site_fract_z
Ce1 0.000 0.000 0.000
Pa1 0.000 0.000 0.500
Zn1 0.250 0.250 0.250
```

Output
crystal system	cubic
total magnetization	2.0	Bohr magnetons per cell

Least stable structure: Q

P | CeZrPa: optimized geometry, PBE.

Structure (CIF):
```
data_CeZrPa
_space_group_name_H-M_alt 'P -6 m 2'
_space_group_IT_number 187
_space_group_name_Hall 'P -6 2'
_cell_length_a 5.2106
_cell_length_b 5.2106
_cell_length_c 3.1325
_cell_angle_alpha 90.00
_cell_angle_beta 90.00
_cell_angle_gamma 120.00
loop_
_atom_site_label
_atom_site_fract_x
_atom_site_fract_y
_atom_site_fract_z
Ce1 0.0000 0.0000 0.0000
Zr1 0.6667 0.3333 0.5000
Pa1 0.3333 0.6667 0.0000
```

Output
crystal system	hexagonal
total magnetization	0.0	Bohr magnetons per cell

Q | CeZrPa: optimized geometry, PBE.

Structure (CIF):
```
data_CeZrPa
_space_group_name_H-M_alt 'R -3 m'
_space_group_IT_number 166
_space_group_name_Hall '-R 3 2"'
_cell_length_a 5.9764
_cell_length_b 5.9764
_cell_length_c 44.2444
_cell_angle_alpha 90.00
_cell_angle_beta 90.00
_cell_angle_gamma 120.00
loop_
_atom_site_label
_atom_site_fract_x
_atom_site_fract_y
_atom_site_fract_z
Ce1 0.0201 0.5101 0.2760
Zr1 0.0000 0.0000 0.2292
Zr2 0.0000 0.0000 0.3218
Zr3 0.0000 0.0000 0.4624
Pa1 0.0000 0.0000 0.0000
Pa2 0.0000 0.0000 0.1084
Pa3 0.0000 0.5000 0.5000
```

Output
crystal system	trigonal
total magnetization	0.0	Bohr magnetons per cell

Least stable structure: Q

P | CeZrPa: optimized geometry, PBE.

Structure (CIF):
```
data_CeZrPa
_space_group_name_H-M_alt 'C 1 2/m 1'
_space_group_IT_number 12
_space_group_name_Hall '-C 2y'
_cell_length_a 5.581
_cell_length_b 3.235
_cell_length_c 16.463
_cell_angle_alpha 90.00
_cell_angle_beta 96.42
_cell_angle_gamma 90.00
loop_
_atom_site_label
_atom_site_fract_x
_atom_site_fract_y
_atom_site_fract_z
Ce1 0.195 0.000 0.085
Zr1 0.197 0.500 0.581
Pa1 0.090 0.500 0.254
```

Output
crystal system	monoclinic
total magnetization	0.0	Bohr magnetons per cell

Q | CeZrPa: optimized geometry, PBE.

Structure (CIF):
```
data_CeZrPa
_space_group_name_H-M_alt 'I 4 m m'
_space_group_IT_number 107
_space_group_name_Hall 'I 4 -2'
_cell_length_a 3.844
_cell_length_b 3.844
_cell_length_c 10.050
_cell_angle_alpha 90.00
_cell_angle_beta 90.00
_cell_angle_gamma 90.00
loop_
_atom_site_label
_atom_site_fract_x
_atom_site_fract_y
_atom_site_fract_z
Ce1 0.000 0.000 0.000
Zr1 0.000 0.000 0.324
Pa1 0.000 0.000 0.662
```

Output
crystal system	tetragonal
total magnetization	0.0	Bohr magnetons per cell

Least stable structure: Q

P | Ce4Pb: optimized geometry, PBE.

Structure (CIF):
```
data_Ce4Pb
_space_group_name_H-M_alt 'I 4/m'
_space_group_IT_number 87
_space_group_name_Hall '-I 4'
_cell_length_a 7.722
_cell_length_b 7.722
_cell_length_c 4.570
_cell_angle_alpha 90.00
_cell_angle_beta 90.00
_cell_angle_gamma 90.00
loop_
_atom_site_label
_atom_site_fract_x
_atom_site_fract_y
_atom_site_fract_z
Ce1 0.106 0.691 0.000
Pb1 0.000 0.000 0.500
```

Output
crystal system	tetragonal
total magnetization	0.0	Bohr magnetons per cell

Q | Ce4Pb: optimized geometry, PBE.

Structure (CIF):
```
data_Ce4Pb
_space_group_name_H-M_alt 'P m -3 m'
_space_group_IT_number 221
_space_group_name_Hall '-P 4 2 3'
_cell_length_a 6.000
_cell_length_b 6.000
_cell_length_c 6.000
_cell_angle_alpha 90.00
_cell_angle_beta 90.00
_cell_angle_gamma 90.00
loop_
_atom_site_label
_atom_site_fract_x
_atom_site_fract_y
_atom_site_fract_z
Ce1 0.000 0.000 0.000
Ce2 0.000 0.500 0.500
Pb1 0.500 0.500 0.500
```

Output
crystal system	cubic
total magnetization	7.2	Bohr magnetons per cell

Least stable structure: Q

P | Ce4Pb3: optimized geometry, PBE.

Structure (CIF):
```
data_Ce4Pb3
_space_group_name_H-M_alt 'I -4 3 d'
_space_group_IT_number 220
_space_group_name_Hall 'I -4bd 2c 3'
_cell_length_a 9.631
_cell_length_b 9.631
_cell_length_c 9.631
_cell_angle_alpha 90.00
_cell_angle_beta 90.00
_cell_angle_gamma 90.00
loop_
_atom_site_label
_atom_site_fract_x
_atom_site_fract_y
_atom_site_fract_z
Ce1 0.074 0.074 0.074
Pb1 0.000 0.250 0.375
```

Output
crystal system	cubic
total magnetization	16.3	Bohr magnetons per cell

Q | Ce4Pb3: optimized geometry, PBE.

Structure (CIF):
```
data_Ce4Pb3
_space_group_name_H-M_alt 'I 4/m m m'
_space_group_IT_number 139
_space_group_name_Hall '-I 4 2'
_cell_length_a 4.443
_cell_length_b 4.443
_cell_length_c 22.986
_cell_angle_alpha 90.00
_cell_angle_beta 90.00
_cell_angle_gamma 90.00
loop_
_atom_site_label
_atom_site_fract_x
_atom_site_fract_y
_atom_site_fract_z
Ce1 0.000 0.000 0.059
Ce2 0.000 0.000 0.335
Pb1 0.000 0.000 0.196
Pb2 0.000 0.000 0.500
```

Output
crystal system	tetragonal
total magnetization	7.9	Bohr magnetons per cell

Least stable structure: Q